First-principles (PBE) data for crystalline BaHg3Rh at its relaxed geometry, as listed in Alexandria.

- Fermi-level density of states (states/eV/cell) = 6.1
- energy relative to the elements (eV/atom) = -0.285
- E above lowest polymorph (meV/atom) = 5
- theoretical density (g/cm³) = 9.421

CIF file:
```
data_BaHg3Rh
_chemical_formula_sum 'Ba2 Hg6 Rh2'
_space_group_name_H-M_alt 'P 1'
_space_group_IT_number 1
_cell_length_a 7.499
_cell_length_b 7.485
_cell_length_c 7.486
_cell_angle_alpha 120.00
_cell_angle_beta 120.06
_cell_angle_gamma 90.00
loop_
_space_group_symop_operation_xyz
'x,y,z'
loop_
_atom_site_label
_atom_site_type_symbol
_atom_site_fract_x
_atom_site_fract_y
_atom_site_fract_z
Ba1 Ba 0.750 0.732 0.500
Ba2 Ba 0.250 0.268 0.500
Rh1 Rh 0.500 0.000 0.000
Hg1 Hg 0.256 0.756 0.013
Rh2 Rh 0.000 0.500 0.000
Hg2 Hg 0.756 0.756 0.013
Hg3 Hg 0.250 0.765 0.500
Hg4 Hg 0.744 0.244 0.987
Hg5 Hg 0.750 0.235 0.500
Hg6 Hg 0.244 0.244 0.987
```

=====

First-principles (PBE) data for crystalline BaHg2Rh at its relaxed geometry, as listed in Alexandria.

- Fermi-level density of states (states/eV/cell) = 1.5
- energy relative to the elements (eV/atom) = -0.247
- theoretical density (g/cm³) = 9.412

CIF file:
```
data_BaHg2Rh
_chemical_formula_sum 'Ba1 Hg2 Rh1'
_space_group_name_H-M_alt 'P 1'
_space_group_IT_number 1
_cell_length_a 4.802
_cell_length_b 4.802
_cell_length_c 6.316
_cell_angle_alpha 67.62
_cell_angle_beta 67.62
_cell_angle_gamma 59.86
loop_
_space_group_symop_operation_xyz
'x,y,z'
loop_
_atom_site_label
_atom_site_type_symbol
_atom_site_fract_x
_atom_site_fract_y
_atom_site_fract_z
Rh1 Rh 0.564 0.564 0.306
Hg1 Hg 0.961 0.961 0.117
Ba1 Ba 0.757 0.757 0.732
Hg2 Hg 0.218 0.218 0.346
```